No. 1
# PmSiCl6 | Alexandria via LeMat-Bulk | PBE | optimized geometry
# density of states at the Fermi level: 3.083 states/eV/cell
# final energy: -4.0711 eV per atom
data_PmSiCl6
_chemical_formula_sum 'Pm1 Si1 Cl6'
_cell_length_a 7.024
_cell_length_b 7.024
_cell_length_c 6.394
_cell_angle_alpha 97.25
_cell_angle_beta 97.25
_cell_angle_gamma 125.66
_symmetry_space_group_name_H-M 'P 1'
_symmetry_Int_Tables_number 1
_symmetry_space_group_name_Hall 'P 1'
loop_
_atom_site_label
_atom_site_fract_x
_atom_site_fract_y
_atom_site_fract_z
Pm1 0.000 0.000 0.000
Si1 0.500 0.500 0.500
Cl1 0.150 0.417 0.280
Cl2 0.264 0.264 0.732
Cl3 0.417 0.150 0.280
Cl4 0.583 0.850 0.720
Cl5 0.736 0.736 0.268
Cl6 0.850 0.583 0.720

---

No. 2
# Ce8Tc3Ge2 | Alexandria via LeMat-Bulk | PBE | optimized geometry
# energy relative to the elements: -168 meV per atom
# density of states at the Fermi level: 24.688 states/eV/cell
data_Ce8Tc3Ge2
_chemical_formula_sum 'Ce8 Tc3 Ge2'
_cell_length_a 8.425
_cell_length_b 8.425
_cell_length_c 5.473
_cell_angle_alpha 99.94
_cell_angle_beta 99.94
_cell_angle_gamma 56.79
_symmetry_space_group_name_H-M 'P 1'
_symmetry_Int_Tables_number 1
_symmetry_space_group_name_Hall 'P 1'
loop_
_atom_site_label
_atom_site_fract_x
_atom_site_fract_y
_atom_site_fract_z
Ce1 0.092 0.092 0.469
Ce2 0.116 0.657 0.932
Ce3 0.343 0.884 0.068
Ce4 0.348 0.348 0.422
Ce5 0.652 0.652 0.578
Ce6 0.657 0.116 0.932
Ce7 0.884 0.343 0.068
Ce8 0.908 0.908 0.531
Tc1 0.326 0.674 0.500
Tc2 0.500 0.500 0.000
Tc3 0.674 0.326 0.500
Ge1 0.247 0.247 0.887
Ge2 0.753 0.753 0.113

---

No. 3
# Li2SnAsRu | Alexandria via LeMat-Bulk | PBE | optimized geometry
# energy relative to the elements: 157 meV per atom
# density of states at the Fermi level: 2.049 states/eV/cell
data_Li2SnAsRu
_chemical_formula_sum 'Li2 Sn1 As1 Ru1'
_cell_length_a 4.765
_cell_length_b 4.765
_cell_length_c 4.606
_cell_angle_alpha 90.00
_cell_angle_beta 90.00
_cell_angle_gamma 90.00
_symmetry_space_group_name_H-M 'P 1'
_symmetry_Int_Tables_number 1
_symmetry_space_group_name_Hall 'P 1'
loop_
_atom_site_label
_atom_site_fract_x
_atom_site_fract_y
_atom_site_fract_z
Li1 0.000 0.500 0.000
Li2 0.500 0.000 0.000
Sn1 0.000 0.000 0.500
As1 0.500 0.500 0.500
Ru1 0.500 0.500 0.000